1.
DFT (PBE) results for a relaxed structure of LaTmPuSn.

DOS at the Fermi energy	4.281	states/eV/atom
ΔH_f (0 K)	-166	meV/atom
space group	F-43m (216)

Cell: 5.451 5.451 5.451 Å, 60.00 60.00 60.00°
Sites, in units of the cell vectors:
La1 0.000 0.000 0.000
Tm1 0.500 0.500 0.500
Pu1 0.250 0.250 0.250
Sn1 0.750 0.750 0.750


2.
DFT (PBE) results for a relaxed structure of UPd2Pt4.

DOS at the Fermi energy	1.542	states/eV/atom
polymorph energy (0 for the lowest one)	0.0	kJ/mol of atoms
ΔH_f (0 K)	-304	meV/atom
space group	Cmmm (65)

Cell: 5.572 5.572 4.732 Å, 90.00 90.00 119.15°
Sites, in units of the cell vectors:
U1 0.000 0.000 0.000
Pd1 0.251 0.749 0.500
Pd2 0.749 0.251 0.500
Pt1 0.000 0.500 0.000
Pt2 0.262 0.262 0.500
Pt3 0.500 0.000 0.000
Pt4 0.738 0.738 0.500


3.
DFT (PBE) results for a relaxed structure of InAg2GeIr.

DOS at the Fermi energy	0.953	states/eV/atom
ΔH_f (0 K)	1493	meV/atom
space group	P4/mmm (123)

Cell: 5.025 5.025 5.040 Å, 90.00 90.00 90.00°
Sites, in units of the cell vectors:
In1 0.000 0.000 0.000
Ag1 0.000 0.500 0.000
Ag2 0.500 0.000 0.000
Ge1 0.000 0.000 0.500
Ir1 0.500 0.500 0.500


4.
DFT (PBE) results for a relaxed structure of GaHg.

DOS at the Fermi energy	0.341	states/eV/atom
ΔH_f (0 K)	68	meV/atom
space group	Pbca (61)

Cell: 5.673 11.117 5.743 Å, 90.00 90.00 90.00°
Sites, in units of the cell vectors:
Ga1 0.149 0.040 0.182
Ga2 0.149 0.460 0.682
Ga3 0.351 0.540 0.182
Ga4 0.351 0.960 0.682
Ga5 0.649 0.040 0.318
Ga6 0.649 0.460 0.818
Ga7 0.851 0.540 0.318
Ga8 0.851 0.960 0.818
Hg1 0.057 0.192 0.606
Hg2 0.057 0.308 0.106
Hg3 0.443 0.692 0.606
Hg4 0.443 0.808 0.106
Hg5 0.557 0.192 0.894
Hg6 0.557 0.308 0.394
Hg7 0.943 0.692 0.894
Hg8 0.943 0.808 0.394


5.
DFT (PBE) results for a relaxed structure of Ta3VAu.

DOS at the Fermi energy	0.993	states/eV/atom
polymorph energy (0 for the lowest one)	0.0	kJ/mol of atoms
ΔH_f (0 K)	1096	meV/atom
space group	Pm-3m (221)

Cell: 4.616 4.616 4.616 Å, 90.00 90.00 90.00°
Sites, in units of the cell vectors:
Ta1 0.000 0.000 0.500
Ta2 0.000 0.500 0.000
Ta3 0.500 0.000 0.000
V1 0.000 0.000 0.000
Au1 0.500 0.500 0.500


6.
DFT (PBE) results for a relaxed structure of CuPbSe2.

DOS at the Fermi energy	0.642	states/eV/atom
space group	R3m (160)
total energy	-3.882	eV/atom

Cell: 7.259 7.259 7.259 Å, 31.07 31.07 31.07°
Sites, in units of the cell vectors:
Cu1 0.000 0.000 0.000
Pb1 0.832 0.832 0.832
Se1 0.394 0.394 0.394
Se2 0.598 0.598 0.598


7.
DFT (PBE) results for a relaxed structure of NaMo3N.

DOS at the Fermi energy	0.757	states/eV/atom
polymorph energy (0 for the lowest one)	0.0	kJ/mol of atoms
space group	Pm-3m (221)

Cell: 4.185 4.185 4.185 Å, 90.00 90.00 90.00°
Sites, in units of the cell vectors:
Na1 0.000 0.000 0.000
Mo1 0.000 0.500 0.500
Mo2 0.500 0.000 0.500
Mo3 0.500 0.500 0.000
N1 0.500 0.500 0.500


8.
DFT (PBE) results for a relaxed structure of SmPaAgHg.

DOS at the Fermi energy	2.223	states/eV/atom
ΔH_f (0 K)	58	meV/atom
space group	F-43m (216)

Cell: 5.262 5.262 5.262 Å, 60.00 60.00 60.00°
Sites, in units of the cell vectors:
Sm1 0.000 0.000 0.000
Pa1 0.500 0.500 0.500
Ag1 0.750 0.750 0.750
Hg1 0.250 0.250 0.250


9.
DFT (PBE) results for a relaxed structure of Ti2VRh3.

DOS at the Fermi energy	1.679	states/eV/atom
ΔH_f (0 K)	-578	meV/atom
space group	P4/mmm (123)

Cell: 2.863 2.863 10.675 Å, 90.00 90.00 90.00°
Sites, in units of the cell vectors:
Ti1 0.000 0.000 0.168
Ti2 0.000 0.000 0.832
V1 0.000 0.000 0.500
Rh1 0.500 0.500 0.000
Rh2 0.500 0.500 0.338
Rh3 0.500 0.500 0.662


10.
DFT (PBE) results for a relaxed structure of ScZnAgIr.

DOS at the Fermi energy	0.546	states/eV/atom
ΔH_f (0 K)	-410	meV/atom
space group	F-43m (216)

Cell: 4.541 4.541 4.541 Å, 60.00 60.00 60.00°
Sites, in units of the cell vectors:
Sc1 0.000 0.000 0.000
Zn1 0.500 0.500 0.500
Ag1 0.250 0.250 0.250
Ir1 0.750 0.750 0.750


11.
DFT (PBE) results for a relaxed structure of Ca9Zn4Sb9.

DOS at the Fermi energy	0.265	states/eV/atom
space group	Pbam (55)
total energy	-3.549	eV/atom

Cell: 12.497 21.897 4.557 Å, 90.00 90.00 90.00°
Sites, in units of the cell vectors:
Ca1 0.000 0.000 0.000
Ca2 0.067 0.409 0.500
Ca3 0.125 0.236 0.500
Ca4 0.132 0.863 0.500
Ca5 0.209 0.602 0.000
Ca6 0.291 0.102 0.000
Ca7 0.368 0.363 0.500
Ca8 0.375 0.736 0.500
Ca9 0.433 0.909 0.500
Ca10 0.500 0.500 0.000
Ca11 0.567 0.091 0.500
Ca12 0.625 0.264 0.500
Ca13 0.632 0.637 0.500
Ca14 0.709 0.898 0.000
Ca15 0.791 0.398 0.000
Ca16 0.868 0.137 0.500
Ca17 0.875 0.764 0.500
Ca18 0.933 0.591 0.500
Zn1 0.113 0.763 0.000
Zn2 0.225 0.454 0.000
Zn3 0.275 0.954 0.000
Zn4 0.387 0.263 0.000
Zn5 0.613 0.737 0.000
Zn6 0.725 0.046 0.000
Zn7 0.775 0.546 0.000
Zn8 0.887 0.237 0.000
Sb1 0.000 0.500 0.000
Sb2 0.044 0.146 0.000
Sb3 0.117 0.695 0.500
Sb4 0.193 0.007 0.500
Sb5 0.193 0.332 0.000
Sb6 0.307 0.507 0.500
Sb7 0.307 0.832 0.000
Sb8 0.383 0.195 0.500
Sb9 0.456 0.646 0.000
Sb10 0.500 0.000 0.000
Sb11 0.544 0.354 0.000
Sb12 0.617 0.805 0.500
Sb13 0.693 0.168 0.000
Sb14 0.693 0.493 0.500
Sb15 0.807 0.668 0.000
Sb16 0.807 0.993 0.500
Sb17 0.883 0.305 0.500
Sb18 0.956 0.854 0.000


12.
DFT (PBE) results for a relaxed structure of AgTe4As3.

DOS at the Fermi energy	0.274	states/eV/atom
space group	Pmmn (59)
total energy	-3.650	eV/atom

Cell: 5.933 11.725 5.933 Å, 90.00 90.00 90.00°
Sites, in units of the cell vectors:
Ag1 0.250 0.250 0.249
Ag2 0.750 0.750 0.751
Te1 0.250 0.250 0.750
Te2 0.250 0.503 0.250
Te3 0.250 0.750 0.750
Te4 0.250 0.997 0.250
Te5 0.750 0.003 0.750
Te6 0.750 0.250 0.250
Te7 0.750 0.497 0.750
Te8 0.750 0.750 0.250
As1 0.250 0.000 0.749
As2 0.250 0.500 0.749
As3 0.250 0.750 0.250
As4 0.750 0.000 0.251
As5 0.750 0.250 0.750
As6 0.750 0.500 0.251


13.
DFT (PBE) results for a relaxed structure of NdTmGa2Pd2.

DOS at the Fermi energy	0.688	states/eV/atom
ΔH_f (0 K)	-845	meV/atom
space group	P-3m1 (164)

Cell: 4.509 4.509 7.029 Å, 90.00 90.00 120.00°
Sites, in units of the cell vectors:
Nd1 0.000 0.000 0.000
Tm1 0.000 0.000 0.500
Ga1 0.333 0.667 0.273
Ga2 0.667 0.333 0.727
Pd1 0.333 0.667 0.720
Pd2 0.667 0.333 0.280


14.
DFT (PBE) results for a relaxed structure of RbLiHo2S4.

DOS at the Fermi energy	0.000	states/eV/atom
space group	Cmcm (63)
total energy	-5.412	eV/atom

Cell: 7.088 7.088 13.979 Å, 90.00 90.00 146.93°
Sites, in units of the cell vectors:
Rb1 0.106 0.894 0.750
Rb2 0.894 0.106 0.250
Li1 0.171 0.829 0.250
Li2 0.829 0.171 0.750
Ho1 0.366 0.634 0.561
Ho2 0.366 0.634 0.939
Ho3 0.634 0.366 0.061
Ho4 0.634 0.366 0.439
S1 0.000 0.000 0.000
S2 0.000 0.000 0.500
S3 0.260 0.740 0.105
S4 0.260 0.740 0.395
S5 0.418 0.582 0.750
S6 0.582 0.418 0.250
S7 0.740 0.260 0.605
S8 0.740 0.260 0.895


15.
DFT (PBE) results for a relaxed structure of RbBaLi.

DOS at the Fermi energy	1.065	states/eV/atom
polymorph energy (0 for the lowest one)	7.8	kJ/mol of atoms
ΔH_f (0 K)	140	meV/atom
space group	I4mm (107)

Cell: 9.053 9.053 9.053 Å, 151.37 151.37 40.94°
Sites, in units of the cell vectors:
Rb1 0.000 0.000 0.000
Ba1 0.276 0.276 0.000
Li1 0.650 0.650 0.000


16.
DFT (PBE) results for a relaxed structure of TlIn3Sn.

DOS at the Fermi energy	0.478	states/eV/atom
polymorph energy (0 for the lowest one)	0.0	kJ/mol of atoms
ΔH_f (0 K)	29	meV/atom
space group	P-1 (2)

Cell: 5.102 5.613 11.028 Å, 84.02 89.76 63.67°
Sites, in units of the cell vectors:
Tl1 0.046 0.402 0.153
Tl2 0.954 0.598 0.847
In1 0.147 0.198 0.452
In2 0.253 0.001 0.746
In3 0.349 0.802 0.048
In4 0.651 0.198 0.952
In5 0.747 0.999 0.254
In6 0.853 0.802 0.548
Sn1 0.444 0.599 0.353
Sn2 0.556 0.401 0.647


17.
DFT (PBE) results for a relaxed structure of IrAu3.

DOS at the Fermi energy	0.733	states/eV/atom
ΔH_f (0 K)	239	meV/atom
space group	R-3m (166)

Cell: 9.815 9.815 9.815 Å, 16.75 16.75 16.75°
Sites, in units of the cell vectors:
Ir1 0.000 0.000 0.000
Au1 0.253 0.253 0.253
Au2 0.500 0.500 0.500
Au3 0.747 0.747 0.747


18.
DFT (PBE) results for a relaxed structure of HfP2Os2.

DOS at the Fermi energy	0.735	states/eV/atom
polymorph energy (0 for the lowest one)	31.2	kJ/mol of atoms
ΔH_f (0 K)	-167	meV/atom
space group	P4/mbm (127)

Cell: 7.078 7.078 2.899 Å, 90.00 90.00 90.00°
Sites, in units of the cell vectors:
Hf1 0.000 0.000 0.000
Hf2 0.500 0.500 0.000
P1 0.157 0.343 0.000
P2 0.343 0.843 0.000
P3 0.657 0.157 0.000
P4 0.843 0.657 0.000
Os1 0.144 0.644 0.500
Os2 0.356 0.144 0.500
Os3 0.644 0.856 0.500
Os4 0.856 0.356 0.500


19.
DFT (PBE) results for a relaxed structure of YOsRu2.

DOS at the Fermi energy	1.389	states/eV/atom
polymorph energy (0 for the lowest one)	14.7	kJ/mol of atoms
ΔH_f (0 K)	313	meV/atom
space group	P2/m (10)

Cell: 2.898 4.452 5.427 Å, 90.00 101.69 90.00°
Sites, in units of the cell vectors:
Y1 0.000 0.000 0.000
Os1 0.500 0.000 0.500
Ru1 0.324 0.500 0.711
Ru2 0.676 0.500 0.289


20.
DFT (PBE) results for a relaxed structure of LiScC2.

DOS at the Fermi energy	0.422	states/eV/atom
polymorph energy (0 for the lowest one)	0.0	kJ/mol of atoms
ΔH_f (0 K)	780	meV/atom
space group	Fm-3m (225)

Cell: 3.871 3.871 3.871 Å, 60.00 60.00 60.00°
Sites, in units of the cell vectors:
Li1 0.000 0.000 0.000
Sc1 0.500 0.500 0.500
C1 0.250 0.250 0.250
C2 0.750 0.750 0.750


21.
DFT (PBE) results for a relaxed structure of BaCd2In.

DOS at the Fermi energy	0.717	states/eV/atom
ΔH_f (0 K)	-190	meV/atom
space group	Pm (6)

Cell: 3.936 4.785 7.004 Å, 90.00 104.34 90.00°
Sites, in units of the cell vectors:
Ba1 0.000 0.000 0.000
Cd1 0.619 0.000 0.493
Cd2 0.634 0.500 0.267
In1 0.300 0.500 0.663


22.
DFT (PBE) results for a relaxed structure of TmAsS.

DOS at the Fermi energy	0.000	states/eV/atom
space group	Pnma (62)
total energy	-5.855	eV/atom

Cell: 6.948 3.729 9.526 Å, 90.00 90.00 90.00°
Sites, in units of the cell vectors:
Tm1 0.210 0.250 0.164
Tm2 0.290 0.750 0.664
Tm3 0.710 0.250 0.336
Tm4 0.790 0.750 0.836
As1 0.108 0.250 0.459
As2 0.392 0.750 0.959
As3 0.608 0.250 0.041
As4 0.892 0.750 0.541
S1 0.082 0.250 0.839
S2 0.418 0.750 0.339
S3 0.582 0.250 0.661
S4 0.918 0.750 0.161


23.
DFT (PBE) results for a relaxed structure of SrMn2Au.

DOS at the Fermi energy	0.970	states/eV/atom
ΔH_f (0 K)	340	meV/atom
space group	P4/mmm (123)

Cell: 3.515 3.515 7.404 Å, 90.00 90.00 90.00°
Sites, in units of the cell vectors:
Sr1 0.000 0.000 0.000
Mn1 0.500 0.500 0.320
Mn2 0.500 0.500 0.680
Au1 0.000 0.000 0.500